1.
Ac2LaTb3 | PBE | relaxed

abc: 8.3990 8.3990 11.7769
angles: 115.31 115.31 36.85
Last column: nearest neighbours and their distance in Å.
Sites, in units of the cell vectors:
1 Ac 0.0354 0.0354 0.3641  4 Tb 3.72-3.79, 4 La 3.72-3.89, 4 Ac 3.82-3.91
2 Ac 0.2928 0.2928 0.6363  4 Tb 3.72-3.79, 3 La 3.73-3.93, 5 Ac 3.82-3.91
3 Ac 0.7072 0.7072 0.3637  4 Tb 3.72-3.79, 3 La 3.73-3.93, 5 Ac 3.82-3.91
4 Ac 0.9646 0.9646 0.6359  4 Tb 3.72-3.79, 4 La 3.72-3.89, 4 Ac 3.82-3.91
5 La 0.3718 0.3718 0.3649  7 Ac 3.72-3.93, 4 Tb 3.75, 1 La 3.89
6 La 0.6282 0.6282 0.6351  7 Ac 3.72-3.93, 4 Tb 3.75, 1 La 3.89
7 Tb 0.1215 0.1215 0.1121  8 Tb 3.54-3.77, 3 Ac 3.75-3.79, 1 La 3.75
8 Tb 0.2125 0.2125 0.8875  8 Tb 3.54-3.75, 2 Ac 3.72, 2 La 3.75
9 Tb 0.4531 0.4531 0.1116  8 Tb 3.54-3.77, 1 La 3.75, 3 Ac 3.75-3.79
10 Tb 0.5469 0.5469 0.8884  8 Tb 3.54-3.77, 1 La 3.75, 3 Ac 3.75-3.79
11 Tb 0.7875 0.7875 0.1125  8 Tb 3.54-3.75, 2 Ac 3.72, 2 La 3.75
12 Tb 0.8785 0.8785 0.8879  8 Tb 3.54-3.77, 3 Ac 3.75-3.79, 1 La 3.75



2.
Dy2TeOs | PBE | relaxed

abc: 3.5535 3.5535 7.4945
angles: 90.00 90.00 90.00
Last column: nearest neighbours and their distance in Å.
Sites, in units of the cell vectors:
1 Dy 0.0000 0.0000 0.2200  4 Os 3.01, 4 Te 3.27, 1 Dy 3.30
2 Dy 0.0000 0.0000 0.7800  4 Os 3.01, 4 Te 3.27, 1 Dy 3.30
3 Te 0.5000 0.5000 0.5000  8 Dy 3.27, 4 Te 3.55
4 Os 0.5000 0.5000 0.0000  8 Dy 3.01

Values from the calculation:
The calculation puts the formation energy (no corrections) at -0.6062 eV per atom.



3.
AlTcH2 | PBE | relaxed

abc: 3.6653 3.6653 3.6653
angles: 60.00 60.00 60.00
Last column: nearest neighbours and their distance in Å.
Sites, in units of the cell vectors:
1 Al 0.0000 0.0000 0.0000  8 H 2.24
2 Tc 0.5000 0.5000 0.5000  8 H 2.24
3 H 0.2500 0.2500 0.2500  4 Tc 2.24, 4 Al 2.24
4 H 0.7500 0.7500 0.7500  4 Tc 2.24, 4 Al 2.24



Short version: E_tot = -53.5, -26.0, -18.5 eV/cell, in the order given.